Record 1
Computed, not measured: a relaxed structure of BeHg at the PBE level of DFT.

Cell and atoms, written as POSCAR:
```
BeHg
1.0
-2.7242 -0.5663 -0.3316
0.5154 -5.5425 5.2313
-1.5927 4.6714 5.1062
Be Hg
4 4
Direct
0.7500 0.6002 0.5587
0.2500 0.3998 0.4413
0.2500 0.1002 0.9413
0.7500 0.8998 0.0587
0.7500 0.2223 0.2152
0.2500 0.7223 0.2848
0.7500 0.2777 0.7153
0.2500 0.7777 0.7847
```

- D(E_F) (states/eV/atom) = 0.29
- uncorrected energy (eV/atom) = -1.655


Record 2
Computed, not measured: a relaxed structure of AcPmDy6Y2 at the PBE level of DFT.

Cell and atoms, written as POSCAR:
```
AcPmDy6Y2
1.0
-9.4962 0.0912 0.2320
0.3180 -8.6108 2.3430
0.5624 5.9646 6.6215
Dy Pm Y Ac
12 2 4 2
Direct
0.9403 0.8810 0.2445
0.6780 0.0108 0.5493
0.4403 0.2445 0.8810
0.0597 0.1190 0.7555
0.1134 0.7104 0.4780
0.3866 0.5220 0.2896
0.6134 0.4780 0.7104
0.8220 0.4507 0.9892
0.8866 0.2896 0.5220
0.1780 0.5493 0.0108
0.5597 0.7555 0.1190
0.3220 0.9892 0.4507
0.2500 0.4113 0.5887
0.7500 0.5887 0.4113
0.0525 0.3094 0.2027
0.9475 0.6906 0.7973
0.4475 0.7973 0.6906
0.5525 0.2027 0.3094
0.2500 0.9610 0.0390
0.7500 0.0390 0.9610
```

- D(E_F) (states/eV/atom) = 1.48
- uncorrected energy (eV/atom) = -4.807


- What is the formula in the first record?
  BeHg


Please write out number 2 again, unchanged.
Computed, not measured: a relaxed structure of AcPmDy6Y2 at the PBE level of DFT.

Cell and atoms, written as POSCAR:
```
AcPmDy6Y2
1.0
-9.4962 0.0912 0.2320
0.3180 -8.6108 2.3430
0.5624 5.9646 6.6215
Dy Pm Y Ac
12 2 4 2
Direct
0.9403 0.8810 0.2445
0.6780 0.0108 0.5493
0.4403 0.2445 0.8810
0.0597 0.1190 0.7555
0.1134 0.7104 0.4780
0.3866 0.5220 0.2896
0.6134 0.4780 0.7104
0.8220 0.4507 0.9892
0.8866 0.2896 0.5220
0.1780 0.5493 0.0108
0.5597 0.7555 0.1190
0.3220 0.9892 0.4507
0.2500 0.4113 0.5887
0.7500 0.5887 0.4113
0.0525 0.3094 0.2027
0.9475 0.6906 0.7973
0.4475 0.7973 0.6906
0.5525 0.2027 0.3094
0.2500 0.9610 0.0390
0.7500 0.0390 0.9610
```

- D(E_F) (states/eV/atom) = 1.48
- uncorrected energy (eV/atom) = -4.807


- Which of these has the highest D(E_F)?
  AcPmDy6Y2